Entry 1:
Here is crystalline Zr2RuRh at its relaxed geometry from Alexandria. Energies are from PBE.

## Properties
- VASP energy (eV for the cell shown) = -69.97

Cell: 8.271 3.246 5.667 Å, 90.00 102.59 90.00°
Space group C2/m (No. 12)
One atom of each set of equivalent atoms:
Zr  0.250  0.000  0.245
Ru  0.000  0.500  0.000
Rh  0.000  0.000  0.500

---

Entry 2:
Here is crystalline ZrRuRh2 at its relaxed geometry from Alexandria. Energies are from PBE.

## Properties
- VASP energy (eV for the cell shown) = -33.05

Cell: 2.860 2.860 7.783 Å, 90.00 90.00 90.00°
Space group P4mm (No. 99)
One atom of each set of equivalent atoms:
Zr  0.000  0.000  0.000
Ru  0.500  0.500  0.722
Rh  0.000  0.000  0.503
Rh  0.500  0.500  0.258

---

Entry 3:
Here is crystalline Zr6RuRh at its relaxed geometry from Alexandria. Energies are from PBE.

## Properties
- energy above the lowest structure with this stoichiometry (eV per formula unit) = 0.00

Cell: 4.678 4.678 14.875 Å, 90.00 90.00 90.00°
Space group I4/mmm (No. 139)
One atom of each set of equivalent atoms:
Zr  0.000  0.000  0.249
Zr  0.000  0.500  0.109
Ru  0.000  0.000  0.000
Rh  0.000  0.000  0.500

---

Entry 4:
Here is crystalline ZrRuRh at its relaxed geometry from Alexandria. Energies are from PBE.

## Properties
- energy above the lowest structure with this stoichiometry (eV per formula unit) = 1.06

Cell: 6.139 6.139 6.139 Å, 90.00 90.00 90.00°
Space group F-43m (No. 216)
One atom of each set of equivalent atoms:
Zr  0.000  0.000  0.000
Ru  0.250  0.250  0.750
Rh  0.000  0.000  0.500

---

Entry 5:
Here is crystalline ZrRuRh2 at its relaxed geometry from Alexandria. Energies are from PBE.

## Properties
- VASP energy (eV for the cell shown) = -67.51

Cell: 9.233 2.890 4.847 Å, 90.00 101.23 90.00°
Space group Cm (No. 8)
One atom of each set of equivalent atoms:
Zr  0.000  0.000  0.000
Ru  0.254  0.500  0.295
Rh  0.247  0.000  0.757
Rh  0.496  0.000  0.490

---

Entry 6:
Here is crystalline ZrRuRh2 at its relaxed geometry from Alexandria. Energies are from PBE.

## Properties
- VASP energy (eV for the cell shown) = -33.82

Cell: 2.885 3.863 5.666 Å, 90.00 90.09 90.00°
Space group P2/m (No. 10)
One atom of each set of equivalent atoms:
Zr  0.000  0.000  0.000
Ru  0.000  0.000  0.500
Rh  0.500  0.500  0.267

---

no.,N(E_F) (states/eV per cell)
1,7.26
2,5.09
3,15.53
4,19.47
5,6.47
6,4.59